# 1
Material: Y2ScInCo
Method: DFT, PBE-GGA
State: optimized geometry

Total energy, eV per atom: -6.0119
Size of the total moment, μB per formula unit: 0.000

abc: 5.2284 5.2284 4.7340
angles: 90.00 90.00 90.00
Element x y z (fractional)
Y  0.0000  0.5000  0.0000
Y  0.5000  0.0000  0.0000
Co  0.0000  0.0000  0.0000
Sc  0.0000  0.0000  0.5000
In  0.5000  0.5000  0.5000



# 2
Material: InCoSe2
Method: DFT, PBE-GGA
State: optimized geometry

Size of the total moment, μB per formula unit: 2.094
Formation energy (no corrections), eV/atom: 0.368

abc: 4.7523 4.7523 3.6518
angles: 90.00 90.00 104.65
Last column: magnetic moment on the atom in μB.
Element x y z (fractional)
Se  0.0000  0.0000  0.0000  0.09
Se  0.5000  0.5000  0.0000  0.09
Co  0.5000  0.0000  0.5000  1.87
In  0.0000  0.5000  0.5000  0.00



# 3
Material: InCo3Se
Method: DFT, PBE-GGA
State: optimized geometry

E above lowest polymorph, meV/atom: 0
Size of the total moment, μB per formula unit: 2.421
Formation energy (no corrections), eV/atom: 0.489

abc: 4.3427 4.3427 4.3427
angles: 90.00 90.00 90.00
Last column: magnetic moment on the atom in μB.
Element x y z (fractional)
In  0.5000  0.5000  0.5000  -0.04
Co  0.0000  0.5000  0.0000  0.92
Co  0.5000  0.0000  0.0000  1.03
Co  0.0000  0.0000  0.5000  0.60
Se  0.0000  0.0000  0.0000  0.02



# 4
Material: InCoSe2
Method: DFT, PBE-GGA
State: optimized geometry

Size of the total moment, μB per formula unit: 2.033
Formation energy (no corrections), eV/atom: 0.368

abc: 3.3532 4.8381 4.8381
angles: 90.00 90.00 90.00
Last column: magnetic moment on the atom in μB.
Element x y z (fractional)
Co  0.5000  0.5000  0.0000  1.93
In  0.5000  0.0000  0.5000  0.02
Se  0.0000  0.5000  0.5000  0.03
Se  0.0000  0.0000  0.0000  0.03



# 5
Material: InCoSe2
Method: DFT, PBE-GGA
State: optimized geometry

Size of the total moment, μB per formula unit: 0.000
Formation energy (no corrections), eV/atom: -0.242

abc: 8.8742 8.8742 8.8742
angles: 22.47 22.47 22.47
Element x y z (fractional)
Se  0.1176  0.1176  0.1176
Se  0.8824  0.8824  0.8824
In  0.0000  0.0000  0.0000
Co  0.5000  0.5000  0.5000



# 6
Material: InCoSe3
Method: DFT, PBE-GGA
State: optimized geometry

E above lowest polymorph, meV/atom: 0
Size of the total moment, μB per formula unit: 1.153
Formation energy (no corrections), eV/atom: 0.152

abc: 4.7802 4.7802 4.7802
angles: 90.00 90.00 90.00
Last column: magnetic moment on the atom in μB.
Element x y z (fractional)
Co  0.0000  0.0000  0.0000  0.72
In  0.5000  0.5000  0.5000  0.01
Se  0.0000  0.5000  0.0000  0.08
Se  0.0000  0.0000  0.5000  0.03
Se  0.5000  0.0000  0.0000  0.14



# 7
Material: InCoSe2
Method: DFT, PBE-GGA
State: optimized geometry

Size of the total moment, μB per formula unit: 2.120
Formation energy (no corrections), eV/atom: -0.074

abc: 3.6813 3.6813 6.4911
angles: 90.00 90.00 90.00
Last column: magnetic moment on the atom in μB.
Element x y z (fractional)
In  0.5000  0.5000  0.9415  -0.01
Se  0.5000  0.5000  0.3532  0.07
Se  0.0000  0.0000  0.7887  0.02
Co  0.0000  0.0000  0.4167  1.90



# 8
Material: InCo4Se8
Method: DFT, PBE-GGA
State: optimized geometry

Size of the total moment, μB per formula unit: 0.000
Formation energy (no corrections), eV/atom: -0.298

abc: 7.3069 7.3069 7.3069
angles: 60.00 60.00 60.00
Element x y z (fractional)
Se  0.1425  0.1425  0.1425
Se  0.6055  0.6055  0.6055
Se  0.1425  0.1425  0.5724
Se  0.6055  0.1836  0.6055
Se  0.5724  0.1425  0.1425
Se  0.1836  0.6055  0.6055
Se  0.6055  0.6055  0.1836
Se  0.1425  0.5724  0.1425
Co  0.3705  0.8884  0.3705
Co  0.8884  0.3705  0.3705
Co  0.3705  0.3705  0.3705
Co  0.3705  0.3705  0.8884
In  0.7500  0.7500  0.7500



# 9
Material: InCo3Se
Method: DFT, PBE-GGA
State: optimized geometry

E above lowest polymorph, meV/atom: 1034
Size of the total moment, μB per formula unit: 4.352
Formation energy (no corrections), eV/atom: 1.523

abc: 4.7252 4.7252 4.7252
angles: 90.00 90.00 90.00
Last column: magnetic moment on the atom in μB.
Element x y z (fractional)
Se  0.5000  0.5000  0.5000  0.03
Co  0.0000  0.0000  0.5000  1.38
Co  0.0000  0.5000  0.0000  1.54
Co  0.5000  0.0000  0.0000  1.62
In  0.0000  0.0000  0.0000  -0.15



# 10
Material: InCoSe2
Method: DFT, PBE-GGA
State: optimized geometry

Size of the total moment, μB per formula unit: 0.190
Formation energy (no corrections), eV/atom: -0.041

abc: 9.1514 10.0450 10.0450
angles: 161.62 163.25 25.63
Last column: magnetic moment on the atom in μB.
Element x y z (fractional)
In  0.3145  0.8121  0.5025  0.00
Se  0.8324  0.9858  0.8466  0.00
Se  0.8265  0.1513  0.6752  0.00
Co  0.5266  0.5508  0.9758  -0.20



# 11
Material: InCoSe2
Method: DFT, PBE-GGA
State: optimized geometry

Size of the total moment, μB per formula unit: 0.588
Formation energy (no corrections), eV/atom: 0.100

abc: 2.9758 2.9758 9.2465
angles: 90.00 90.00 90.00
Last column: magnetic moment on the atom in μB.
Element x y z (fractional)
Co  0.0000  0.0000  0.4672  0.52
Se  0.0000  0.0000  0.9869  0.03
Se  0.5000  0.5000  0.3446  -0.01
In  0.5000  0.5000  0.7012  0.02



# 12
Material: In2Co2Se
Method: DFT, PBE-GGA
State: optimized geometry

Size of the total moment, μB per formula unit: 1.855
Formation energy (no corrections), eV/atom: 0.173

abc: 6.6062 6.6062 3.9024
angles: 90.00 90.00 90.00
Last column: magnetic moment on the atom in μB.
Element x y z (fractional)
Co  0.8592  0.6408  0.0000  0.93
Co  0.3592  0.8592  0.0000  0.90
Co  0.1408  0.3592  0.0000  0.93
Co  0.6408  0.1408  0.0000  0.90
In  0.6605  0.8395  0.5000  -0.01
In  0.1605  0.6605  0.5000  -0.01
In  0.3395  0.1605  0.5000  -0.01
In  0.8395  0.3395  0.5000  -0.01
Se  0.5000  0.5000  0.0000  0.05
Se  0.0000  0.0000  0.0000  0.05